TlSn5Te7 | the Alexandria database | PBE | relaxed; calculated total energy = -0.134 Ha/atom; magnetization = 0.000 Bohr magnetons per cell
1.0
7.500 -2.244 0.000
7.500 2.244 0.000
-0.013 0.000 25.679
Tl Sn Te
2 10 14
direct
0.171 0.171 0.250
0.829 0.829 0.750
0.000 0.000 0.000
0.000 0.000 0.500
0.285 0.285 0.578
0.285 0.285 0.922
0.433 0.433 0.352
0.434 0.434 0.148
0.566 0.566 0.852
0.567 0.567 0.648
0.715 0.715 0.078
0.715 0.715 0.422
0.090 0.090 0.388
0.091 0.091 0.112
0.190 0.190 0.681
0.190 0.190 0.819
0.361 0.361 0.035
0.361 0.361 0.465
0.482 0.482 0.750
0.518 0.518 0.250
0.639 0.639 0.535
0.639 0.639 0.965
0.810 0.810 0.181
0.810 0.810 0.319
0.909 0.909 0.888
0.910 0.910 0.612

---

Tl2SnTe | the Alexandria database | PBE | relaxed; calculated total energy = -0.108 Ha/atom; E above lowest polymorph = 2.55 kcal/mol of atoms; magnetization = 0.000 Bohr magnetons per cell
1.0
-3.421 3.421 6.976
3.421 -3.421 6.976
3.421 3.421 -6.976
Tl Sn Te
4 2 2
direct
0.105 0.625 0.980
0.375 0.355 0.480
0.645 0.125 0.020
0.875 0.895 0.520
0.000 0.000 0.000
0.750 0.250 0.500
0.250 0.750 0.500
0.500 0.500 0.000

---

Tl2Sn2Te | the Alexandria database | PBE | relaxed; calculated total energy = -0.113 Ha/atom; E above lowest polymorph = 2.25 kcal/mol of atoms; magnetization = 0.000 Bohr magnetons per cell
1.0
-2.208 2.208 8.112
2.208 -2.208 8.112
2.208 2.208 -8.112
Tl Sn Te
2 2 1
direct
0.250 0.750 0.500
0.750 0.250 0.500
0.090 0.090 0.000
0.910 0.910 0.000
0.500 0.500 0.000

---

TlSnTe | the Alexandria database | PBE | relaxed; calculated total energy = -0.121 Ha/atom; E above lowest polymorph = 0.13 kcal/mol of atoms; magnetization = 0.000 Bohr magnetons per cell
1.0
-1.974 1.974 6.048
1.974 -1.974 6.048
1.974 1.974 -6.048
Tl Sn Te
1 1 1
direct
0.000 0.000 0.000
0.315 0.315 0.000
0.696 0.696 0.000

---

Tl3SnTe3 | the Alexandria database | PBE | relaxed; calculated total energy = -0.118 Ha/atom; E above lowest polymorph = 0.00 kcal/mol of atoms; magnetization = 0.000 Bohr magnetons per cell
1.0
13.882 0.000 0.000
0.000 5.284 0.000
0.000 0.000 14.352
Tl Sn Te
12 4 12
direct
0.058 0.250 0.115
0.169 0.750 0.483
0.231 0.750 0.783
0.269 0.250 0.283
0.331 0.250 0.983
0.442 0.750 0.615
0.558 0.250 0.385
0.669 0.750 0.017
0.731 0.750 0.717
0.769 0.250 0.217
0.831 0.250 0.517
0.942 0.750 0.885
0.057 0.250 0.682
0.443 0.750 0.182
0.557 0.250 0.818
0.943 0.750 0.318
0.023 0.250 0.360
0.096 0.250 0.879
0.248 0.250 0.611
0.252 0.750 0.111
0.404 0.750 0.379
0.477 0.750 0.860
0.523 0.250 0.140
0.596 0.250 0.621
0.748 0.250 0.889
0.752 0.750 0.389
0.904 0.750 0.121
0.977 0.750 0.640

---

Tl2SnTe | the Alexandria database | PBE | relaxed; calculated total energy = -0.107 Ha/atom; E above lowest polymorph = 2.93 kcal/mol of atoms; magnetization = 0.000 Bohr magnetons per cell
1.0
0.000 3.955 3.955
3.955 0.000 3.955
3.955 3.955 0.000
Tl Sn Te
2 1 1
direct
0.250 0.250 0.250
0.750 0.750 0.750
0.000 0.000 0.000
0.500 0.500 0.500

---

Tl5SnTe4 | the Alexandria database | PBE | relaxed; calculated total energy = -0.113 Ha/atom; E above lowest polymorph = 0.36 kcal/mol of atoms; magnetization = 0.000 Bohr magnetons per cell
1.0
9.736 0.000 0.000
0.000 11.235 0.000
0.000 0.000 8.000
Tl Sn Te
10 2 8
direct
0.066 0.001 0.233
0.066 0.499 0.233
0.250 0.250 0.726
0.434 0.001 0.233
0.434 0.499 0.233
0.566 0.501 0.767
0.566 0.999 0.767
0.750 0.750 0.274
0.934 0.501 0.767
0.934 0.999 0.767
0.250 0.750 0.812
0.750 0.250 0.188
0.004 0.250 0.990
0.250 0.530 0.613
0.250 0.970 0.613
0.496 0.250 0.990
0.504 0.750 0.010
0.750 0.030 0.387
0.750 0.470 0.387
0.996 0.750 0.010

---

Tl12SnTe7 | the Alexandria database | PBE | relaxed; calculated total energy = -0.107 Ha/atom; magnetization = 0.000 Bohr magnetons per cell
1.0
8.023 4.632 3.473
-8.023 4.632 3.473
0.000 -9.264 3.473
Tl Sn Te
12 1 7
direct
0.054 0.070 0.354
0.070 0.354 0.054
0.192 0.511 0.771
0.229 0.808 0.489
0.354 0.054 0.070
0.489 0.229 0.808
0.511 0.771 0.192
0.646 0.946 0.930
0.771 0.192 0.511
0.808 0.489 0.229
0.930 0.646 0.946
0.946 0.930 0.646
0.500 0.500 0.500
0.000 0.000 0.000
0.143 0.433 0.420
0.420 0.143 0.433
0.433 0.420 0.143
0.567 0.580 0.857
0.580 0.857 0.567
0.857 0.567 0.580

---

TlSnTe2 | the Alexandria database | PBE | relaxed; calculated total energy = -0.121 Ha/atom; magnetization = 0.000 Bohr magnetons per cell
1.0
-4.086 4.086 4.752
4.086 -4.086 4.752
4.086 4.086 -4.752
Tl Sn Te
2 2 4
direct
0.000 0.000 0.000
0.750 0.250 0.500
0.250 0.750 0.500
0.500 0.500 0.000
0.159 0.625 0.034
0.375 0.409 0.534
0.591 0.125 0.966
0.875 0.841 0.466

---

Tl3SnTe3 | the Alexandria database | PBE | relaxed; calculated total energy = -0.116 Ha/atom; E above lowest polymorph = 1.33 kcal/mol of atoms; magnetization = 0.000 Bohr magnetons per cell
1.0
4.680 -7.046 0.000
4.680 7.046 0.000
-1.094 0.000 8.522
Tl Sn Te
6 2 6
direct
0.170 0.830 0.000
0.231 0.769 0.500
0.426 0.426 0.154
0.574 0.574 0.846
0.769 0.231 0.500
0.830 0.170 0.000
0.175 0.175 0.638
0.825 0.825 0.362
0.121 0.121 0.284
0.146 0.479 0.777
0.479 0.146 0.777
0.521 0.854 0.223
0.854 0.521 0.223
0.879 0.879 0.716

---

Tl2SnTe | the Alexandria database | PBE | relaxed; calculated total energy = -0.112 Ha/atom; E above lowest polymorph = 0.00 kcal/mol of atoms; magnetization = 0.000 Bohr magnetons per cell
1.0
4.673 0.000 0.000
0.000 4.673 0.000
0.000 0.000 5.757
Tl Sn Te
2 1 1
direct
0.000 0.500 0.000
0.500 0.000 0.000
0.000 0.000 0.500
0.500 0.500 0.500

---

Tl2SnTe3 | the Alexandria database | PBE | relaxed; calculated total energy = -0.119 Ha/atom; E above lowest polymorph = 1.37 kcal/mol of atoms; magnetization = 0.000 Bohr magnetons per cell
1.0
3.922 -7.915 0.000
3.922 7.915 0.000
-0.848 0.000 16.268
Tl Sn Te
8 4 12
direct
0.053 0.448 0.647
0.197 0.279 0.072
0.279 0.197 0.572
0.448 0.053 0.147
0.552 0.947 0.853
0.721 0.803 0.428
0.803 0.721 0.928
0.947 0.552 0.353
0.204 0.267 0.340
0.267 0.204 0.840
0.733 0.796 0.160
0.796 0.733 0.660
0.007 0.261 0.887
0.139 0.861 0.750
0.259 0.521 0.463
0.261 0.007 0.387
0.458 0.542 0.750
0.479 0.741 0.037
0.521 0.259 0.963
0.542 0.458 0.250
0.739 0.993 0.613
0.741 0.479 0.537
0.861 0.139 0.250
0.993 0.739 0.113

---

Tl3SnTe4 | the Alexandria database | PBE | relaxed; calculated total energy = -0.116 Ha/atom; E above lowest polymorph = 0.34 kcal/mol of atoms; magnetization = 0.000 Bohr magnetons per cell
1.0
9.637 0.000 0.000
0.000 12.268 0.000
0.000 0.000 10.351
Tl Sn Te
12 4 16
direct
0.072 0.250 0.136
0.090 0.566 0.306
0.090 0.934 0.306
0.410 0.066 0.806
0.410 0.434 0.806
0.428 0.750 0.636
0.572 0.250 0.364
0.590 0.566 0.194
0.590 0.934 0.194
0.910 0.066 0.694
0.910 0.434 0.694
0.928 0.750 0.864
0.206 0.250 0.527
0.294 0.750 0.027
0.706 0.250 0.973
0.794 0.750 0.473
0.063 0.750 0.576
0.146 0.561 0.958
0.146 0.939 0.958
0.161 0.250 0.793
0.339 0.750 0.293
0.354 0.061 0.458
0.354 0.439 0.458
0.437 0.250 0.076
0.563 0.750 0.924
0.646 0.561 0.542
0.646 0.939 0.542
0.661 0.250 0.707
0.839 0.750 0.207
0.854 0.061 0.042
0.854 0.439 0.042
0.937 0.250 0.424

---

Tl3Sn2Te4 | the Alexandria database | PBE | relaxed; calculated total energy = -0.121 Ha/atom; E above lowest polymorph = 0.00 kcal/mol of atoms; magnetization = 0.000 Bohr magnetons per cell
1.0
7.619 -6.491 0.000
7.619 6.491 0.000
-0.578 0.000 6.786
Tl Sn Te
6 4 8
direct
0.160 0.840 0.750
0.275 0.508 0.035
0.492 0.725 0.465
0.508 0.275 0.535
0.725 0.492 0.965
0.840 0.160 0.250
0.073 0.302 0.550
0.302 0.073 0.050
0.698 0.927 0.950
0.927 0.698 0.450
0.059 0.291 0.981
0.230 0.520 0.527
0.291 0.059 0.481
0.480 0.770 0.973
0.520 0.230 0.027
0.709 0.941 0.519
0.770 0.480 0.473
0.941 0.709 0.019

---

Tl2SnTe2 | the Alexandria database | PBE | relaxed; calculated total energy = -0.120 Ha/atom; E above lowest polymorph = 0.00 kcal/mol of atoms; magnetization = 0.000 Bohr magnetons per cell
1.0
10.998 0.000 0.000
0.000 8.349 0.000
-3.097 0.000 7.927
Tl Sn Te
8 4 8
direct
0.074 0.222 0.065
0.074 0.278 0.565
0.281 0.596 0.978
0.281 0.904 0.478
0.719 0.096 0.522
0.719 0.404 0.022
0.926 0.722 0.435
0.926 0.778 0.935
0.343 0.140 0.961
0.343 0.360 0.461
0.657 0.640 0.539
0.657 0.860 0.039
0.118 0.578 0.256
0.118 0.922 0.756
0.468 0.608 0.712
0.468 0.892 0.212
0.532 0.108 0.788
0.532 0.392 0.288
0.882 0.078 0.244
0.882 0.422 0.744

---

Tl3SnTe4 | the Alexandria database | PBE | relaxed; calculated total energy = -0.116 Ha/atom; E above lowest polymorph = 0.00 kcal/mol of atoms; magnetization = 0.000 Bohr magnetons per cell
1.0
12.240 0.000 0.000
0.000 6.911 0.000
0.000 0.000 6.903
Tl Sn Te
6 2 8
direct
0.000 0.215 0.000
0.249 0.289 0.582
0.251 0.711 0.082
0.500 0.785 0.500
0.749 0.711 0.082
0.751 0.289 0.582
0.000 0.641 0.430
0.500 0.359 0.930
0.000 0.233 0.501
0.000 0.709 0.021
0.207 0.770 0.559
0.293 0.230 0.059
0.500 0.291 0.521
0.500 0.767 0.001
0.707 0.230 0.059
0.793 0.770 0.559

---

Tl9SnTe6 | the Alexandria database | PBE | relaxed; calculated total energy = -0.112 Ha/atom; magnetization = 0.000 Bohr magnetons per cell
1.0
-4.479 4.479 6.640
4.479 -4.479 6.640
4.479 4.479 -6.640
Tl Sn Te
9 1 6
direct
0.000 0.000 0.000
0.010 0.805 0.502
0.195 0.697 0.205
0.303 0.508 0.498
0.492 0.990 0.795
0.508 0.010 0.205
0.697 0.492 0.502
0.805 0.303 0.795
0.990 0.195 0.498
0.500 0.500 0.000
0.171 0.650 0.821
0.261 0.261 0.000
0.350 0.171 0.520
0.650 0.829 0.480
0.739 0.739 0.000
0.829 0.350 0.179

---

Tl2SnTe3 | the Alexandria database | PBE | relaxed; calculated total energy = -0.119 Ha/atom; E above lowest polymorph = 1.13 kcal/mol of atoms; magnetization = 0.000 Bohr magnetons per cell
1.0
6.120 -4.427 0.000
6.120 4.427 0.000
-1.344 0.000 8.055
Tl Sn Te
4 2 6
direct
0.001 0.691 0.876
0.309 0.999 0.624
0.691 0.001 0.376
0.999 0.309 0.124
0.423 0.577 0.250
0.577 0.423 0.750
0.104 0.896 0.250
0.259 0.434 0.523
0.434 0.259 0.023
0.566 0.741 0.977
0.741 0.566 0.477
0.896 0.104 0.750